Pa2SiRh: relaxed, PBE-GGA.

Summary:
As for the energy above the most stable polymorph in this dataset: 0.000 eV/atom. The calculation puts the volume at 21.3 Å³ per atom. The raw total energy comes out at -8.5649 eV per atom. The calculation puts the magnetic moment at 0.00 μB per atom. The space group is P2_1/m.

Cell: 5.893 3.855 8.010 Å, 90.00 110.54 90.00°
Positions (direct):
Pa (0.197, 0.250, 0.408)
Pa (0.213, 0.250, 0.941)
Pa (0.787, 0.750, 0.059)
Pa (0.803, 0.750, 0.592)
Si (0.336, 0.750, 0.705)
Si (0.664, 0.250, 0.295)
Rh (0.360, 0.750, 0.218)
Rh (0.640, 0.250, 0.782)